An optimized crystal structure of KSmTeS, computed with GGA-PBE.

Output
Raw total energy   -19.5 eV per cell

a = 8.2528 Å, b = 8.2528 Å, c = 8.2528 Å
α = 30.42°, β = 30.42°, γ = 30.42°
Positions (direct):
1 Sm 0.5092 0.5092 0.5092
2 S 0.2347 0.2347 0.2347
3 Te 0.7624 0.7624 0.7624
4 K 0.9937 0.9937 0.9937